Entry 1:
A plane-wave DFT calculation with PBE was carried out for crystalline Pr2Pd2Pt at its relaxed geometry.

a b c (Å): 4.031 5.653 11.121
angles (deg): 92.42 79.56 69.11
Element x y z (fractional)
Pd 0.115 0.234 0.537
Pt 0.394 0.904 0.308
Pd 0.885 0.766 0.463
Pd 0.648 0.809 0.894
Pr 0.340 0.659 0.661
Pr 0.660 0.341 0.339
Pr 0.072 0.744 0.113
Pr 0.928 0.256 0.887
Pt 0.606 0.096 0.692
Pd 0.352 0.191 0.106

Output
For the excess energy over the best structure of this formula in the dataset, the calculation gives 0.00 eV/f.u. The calculation puts the size of the total moment at 0.00 μB/f.u. For the volume, the calculation gives 231 Å³ per cell. The value obtained for the final energy is -30.2 eV per formula unit. The calculation puts the calculated formation energy at -0.848 eV/atom.

***

Entry 2:
A plane-wave DFT calculation with PBE was carried out for crystalline Pr2Pd12Pt5 at its relaxed geometry.

a b c (Å): 6.992 6.992 6.992
angles (deg): 82.41 82.41 82.41
Element x y z (fractional)
Pd 0.000 0.299 0.701
Pt 0.500 0.000 0.000
Pd 0.701 0.000 0.299
Pd 0.650 0.157 0.650
Pr 0.332 0.332 0.332
Pd 0.843 0.350 0.350
Pd 0.350 0.843 0.350
Pt 0.896 0.896 0.896
Pd 0.299 0.701 0.000
Pd 0.650 0.650 0.157
Pd 0.157 0.650 0.650
Pd 0.000 0.701 0.299
Pt 0.000 0.500 0.000
Pr 0.668 0.668 0.668
Pd 0.299 0.000 0.701
Pt 0.000 0.000 0.500
Pt 0.104 0.104 0.104
Pd 0.701 0.299 0.000
Pd 0.350 0.350 0.843

Output
The calculation puts the size of the total moment at 0.00 μB/f.u. For the volume, the calculation gives 334 Å³ per cell. The value obtained for the final energy is -108.7 eV per formula unit. The calculation puts the calculated formation energy at -0.350 eV/atom.

***

Entry 3:
A plane-wave DFT calculation with PBE was carried out for crystalline Pr3PdPt at its relaxed geometry.

a b c (Å): 8.610 7.575 9.083
angles (deg): 90.00 74.29 90.00
Element x y z (fractional)
Pt 0.179 0.464 0.904
Pt 0.821 0.536 0.096
Pr 0.491 0.683 0.856
Pt 0.679 0.036 0.904
Pr 0.617 0.851 0.202
Pt 0.321 0.964 0.096
Pr 0.720 0.501 0.440
Pr 0.009 0.183 0.144
Pd 0.523 0.183 0.446
Pd 0.977 0.683 0.554
Pr 0.509 0.317 0.144
Pr 0.280 0.499 0.560
Pr 0.883 0.351 0.798
Pd 0.477 0.817 0.554
Pr 0.991 0.817 0.856
Pr 0.383 0.149 0.798
Pr 0.220 0.999 0.440
Pd 0.023 0.317 0.446
Pr 0.780 0.001 0.560
Pr 0.117 0.649 0.202

Output
For the excess energy over the best structure of this formula in the dataset, the calculation gives 0.00 eV/f.u. The calculation puts the size of the total moment at 0.00 μB/f.u. For the volume, the calculation gives 570 Å³ per cell. The value obtained for the final energy is -29.3 eV per formula unit. The calculation puts the calculated formation energy at -0.756 eV/atom.